Here is an optimized crystal structure of HfNb3Ge from Alexandria. Energies are from PBE.

* volume: 109.3 Å³ per cell
* E: -8.295 eV/atom
* energy above the most stable polymorph in this dataset: 3.66 eV/f.u.

Lattice parameters (Å, degrees): 4.7814 4.7814 4.7814 90.00 90.00 90.00
Space group Pm-3m (No. 221)
Asymmetric unit:
Hf (0.0000, 0.0000, 0.0000) x1
Nb (0.0000, 0.5000, 0.5000) x3
Ge (0.5000, 0.5000, 0.5000) x1



Here is an optimized crystal structure of SrYSc2Ni from Alexandria. Energies are from PBE.

* volume: 141.9 Å³ per cell
* E: -5.343 eV/atom

Lattice parameters (Å, degrees): 5.1563 5.1563 5.3383 90.00 90.00 90.00
Space group P4/mmm (No. 123)
Asymmetric unit:
Sr (0.0000, 0.0000, 0.0000) x1
Y (0.5000, 0.5000, 0.0000) x1
Sc (0.0000, 0.5000, 0.5000) x2
Ni (0.5000, 0.5000, 0.5000) x1



Here is an optimized crystal structure of DyEr2Mg6 from Alexandria. Energies are from PBE.

* volume: 231.4 Å³ per cell
* E: -2.651 eV/atom

Lattice parameters (Å, degrees): 9.0400 9.0400 3.2689 90.00 90.00 120.00
Space group P6/mmm (No. 191)
Asymmetric unit:
Dy (0.0000, 0.0000, 0.0000) x1
Er (0.3333, 0.6667, 0.0000) x2
Mg (0.0000, 0.3344, 0.5000) x6



| no. | formation energy (eV per atom) |
| --- | --- |
| 1 | 0.661 |
| 2 | -0.025 |
| 3 | -0.063 |